[1]
VASP calculation (PBE-GGA) on a geometry-optimized Sr2TlFeH structure.

Results
- symmetry = No. 123
- energy (eV/atom) = -2.83
- DOS at the Fermi energy (states/eV per cell) = 6.73
- crystal system = tetragonal

```
Sr2TlFeH
1.0
6.359 0.000 0.000
0.000 6.359 0.000
0.000 0.000 4.918
Sr Tl Fe H
2 1 1 1
direct
0.000 0.500 0.000
0.500 0.000 0.000
0.000 0.000 0.000
0.000 0.000 0.500
0.500 0.500 0.500
```


[2]
VASP calculation (PBE-GGA) on a geometry-optimized SrZnFeH6 structure.

Results
- symmetry = No. 187
- energy (eV/atom) = -3.71
- DOS at the Fermi energy (states/eV per cell) = 4.99
- crystal system = hexagonal

```
SrZnFeH6
1.0
4.562 0.000 0.000
-2.281 3.950 0.000
0.000 0.000 4.593
Sr Zn Fe H
1 1 1 6
direct
0.000 0.000 0.000
0.667 0.333 0.500
0.333 0.667 0.500
0.041 0.520 0.261
0.041 0.520 0.739
0.480 0.520 0.261
0.480 0.520 0.739
0.480 0.959 0.261
0.480 0.959 0.739
```


[3]
VASP calculation (PBE-GGA) on a geometry-optimized Ta2FeH structure.

Results
- symmetry = No. 122
- energy (eV/atom) = -8.76
- DOS at the Fermi energy (states/eV per cell) = 4.26
- crystal system = tetragonal

```
Ta2FeH
1.0
-2.899 2.899 3.060
2.899 -2.899 3.060
2.899 2.899 -3.060
Ta Fe H
4 2 2
direct
0.066 0.625 0.941
0.375 0.316 0.441
0.684 0.125 0.059
0.875 0.934 0.559
0.250 0.750 0.500
0.500 0.500 0.000
0.000 0.000 0.000
0.750 0.250 0.500
```


[4]
VASP calculation (PBE-GGA) on a geometry-optimized Ta2FeH6 structure.

Results
- symmetry = No. 71
- energy (eV/atom) = -5.85
- DOS at the Fermi energy (states/eV per cell) = 3.64
- crystal system = orthorhombic

```
Ta2FeH6
1.0
-1.509 2.231 4.709
1.509 -2.231 4.709
1.509 2.231 -4.709
Ta Fe H
2 1 6
direct
0.162 0.162 0.000
0.838 0.838 0.000
0.500 0.500 0.000
0.116 0.341 0.775
0.276 0.000 0.276
0.434 0.659 0.775
0.566 0.341 0.225
0.724 0.000 0.724
0.884 0.659 0.225
```


[5]
VASP calculation (PBE-GGA) on a geometry-optimized TaFeH3 structure.

Results
- symmetry = No. 221
- energy (eV/atom) = -6.00
- DOS at the Fermi energy (states/eV per cell) = 2.16
- crystal system = cubic

```
TaFeH3
1.0
3.273 0.000 0.000
0.000 3.273 0.000
0.000 0.000 3.273
Ta Fe H
1 1 3
direct
0.000 0.000 0.000
0.500 0.500 0.500
0.000 0.500 0.500
0.500 0.000 0.500
0.500 0.500 0.000
```


[6]
VASP calculation (PBE-GGA) on a geometry-optimized Ta3Fe5H12 structure.

Results
- symmetry = No. 230
- energy (eV/atom) = -5.88
- DOS at the Fermi energy (states/eV per cell) = 33.12
- crystal system = cubic

```
Ta3Fe5H12
1.0
-5.271 5.271 5.271
5.271 -5.271 5.271
5.271 5.271 -5.271
Ta Fe H
12 20 48
direct
0.125 0.250 0.375
0.125 0.375 0.750
0.250 0.375 0.125
0.250 0.875 0.625
0.375 0.125 0.250
0.375 0.750 0.125
0.625 0.250 0.875
0.625 0.875 0.750
0.750 0.125 0.375
0.750 0.625 0.875
0.875 0.625 0.250
0.875 0.750 0.625
0.000 0.000 0.000
0.000 0.000 0.500
0.000 0.500 0.000
0.000 0.500 0.500
0.125 0.750 0.875
0.125 0.875 0.250
0.250 0.125 0.875
0.250 0.625 0.375
0.375 0.250 0.625
0.375 0.625 0.750
0.500 0.000 0.000
0.500 0.000 0.500
0.500 0.500 0.000
0.500 0.500 0.500
0.625 0.375 0.250
0.625 0.750 0.375
0.750 0.375 0.625
0.750 0.875 0.125
0.875 0.125 0.750
0.875 0.250 0.125
0.044 0.213 0.128
0.044 0.331 0.915
0.084 0.713 0.669
0.084 0.872 0.415
0.085 0.628 0.416
0.085 0.956 0.669
0.128 0.044 0.213
0.128 0.585 0.916
0.169 0.213 0.584
0.169 0.456 0.585
0.213 0.128 0.044
0.213 0.584 0.169
0.287 0.331 0.916
0.287 0.456 0.372
0.331 0.915 0.044
0.331 0.916 0.287
0.372 0.287 0.456
0.372 0.584 0.915
0.415 0.084 0.872
0.415 0.831 0.544
0.416 0.085 0.628
0.416 0.831 0.787
0.456 0.372 0.287
0.456 0.585 0.169
0.544 0.415 0.831
0.544 0.628 0.713
0.584 0.169 0.213
0.584 0.915 0.372
0.585 0.169 0.456
0.585 0.916 0.128
0.628 0.416 0.085
0.628 0.713 0.544
0.669 0.084 0.713
0.669 0.085 0.956
0.713 0.544 0.628
0.713 0.669 0.084
0.787 0.416 0.831
0.787 0.872 0.956
0.831 0.544 0.415
0.831 0.787 0.416
0.872 0.415 0.084
0.872 0.956 0.787
0.915 0.044 0.331
0.915 0.372 0.584
0.916 0.128 0.585
0.916 0.287 0.331
0.956 0.669 0.085
0.956 0.787 0.872
```


[7]
VASP calculation (PBE-GGA) on a geometry-optimized Ta2Fe2H3 structure.

Results
- symmetry = No. 12
- energy (eV/atom) = -7.30
- DOS at the Fermi energy (states/eV per cell) = 5.07
- crystal system = monoclinic

```
Ta2Fe2H3
1.0
5.008 -1.391 0.000
5.008 1.391 0.000
-1.520 0.000 4.487
Ta Fe H
2 2 3
direct
0.106 0.106 0.310
0.894 0.894 0.690
0.353 0.353 0.156
0.647 0.647 0.844
0.251 0.251 0.771
0.500 0.500 0.500
0.749 0.749 0.229
```


[8]
VASP calculation (PBE-GGA) on a geometry-optimized TaFeH4 structure.

Results
- symmetry = No. 123
- energy (eV/atom) = -5.48
- DOS at the Fermi energy (states/eV per cell) = 2.36
- crystal system = tetragonal

```
TaFeH4
1.0
2.882 0.000 0.000
0.000 2.882 0.000
0.000 0.000 5.398
Ta Fe H
1 1 4
direct
0.000 0.000 0.000
0.000 0.000 0.500
0.000 0.500 0.265
0.000 0.500 0.735
0.500 0.000 0.265
0.500 0.000 0.735
```


[9]
VASP calculation (PBE-GGA) on a geometry-optimized TaFeH2 structure.

Results
- symmetry = No. 160
- energy (eV/atom) = -6.56
- DOS at the Fermi energy (states/eV per cell) = 2.99
- crystal system = trigonal

```
TaFeH2
1.0
1.432 0.827 4.890
-1.432 0.827 4.890
0.000 -1.654 4.890
Ta Fe H
1 1 2
direct
0.000 0.000 0.000
0.827 0.827 0.827
0.233 0.233 0.233
0.427 0.427 0.427
```


[10]
VASP calculation (PBE-GGA) on a geometry-optimized TaFeH2 structure.

Results
- symmetry = No. 166
- energy (eV/atom) = -6.64
- DOS at the Fermi energy (states/eV per cell) = 2.41
- crystal system = trigonal

```
TaFeH2
1.0
1.534 0.886 4.680
-1.534 0.886 4.680
0.000 -1.771 4.680
Ta Fe H
1 1 2
direct
0.000 0.000 0.000
0.500 0.500 0.500
0.382 0.382 0.382
0.618 0.618 0.618
```


[11]
VASP calculation (PBE-GGA) on a geometry-optimized Ta3Fe2H4 structure.

Results
- symmetry = No. 12
- energy (eV/atom) = -7.24
- DOS at the Fermi energy (states/eV per cell) = 5.68
- crystal system = monoclinic

```
Ta3Fe2H4
1.0
4.678 -1.393 0.000
4.678 1.393 0.000
-1.462 0.000 6.467
Ta Fe H
3 2 4
direct
0.000 0.000 0.000
0.385 0.385 0.610
0.615 0.615 0.390
0.306 0.306 0.183
0.694 0.694 0.817
0.077 0.077 0.725
0.325 0.325 0.908
0.675 0.675 0.092
0.923 0.923 0.275
```


[12]
VASP calculation (PBE-GGA) on a geometry-optimized TaFe2H3 structure.

Results
- symmetry = No. 14
- energy (eV/atom) = -6.49
- DOS at the Fermi energy (states/eV per cell) = 13.60
- crystal system = monoclinic

```
TaFe2H3
1.0
4.018 0.000 0.000
0.000 8.212 0.000
-0.019 0.000 5.490
Ta Fe H
4 8 12
direct
0.249 0.092 0.145
0.249 0.408 0.645
0.751 0.592 0.355
0.751 0.908 0.855
0.241 0.744 0.622
0.241 0.756 0.122
0.245 0.077 0.628
0.245 0.423 0.128
0.755 0.577 0.872
0.755 0.923 0.372
0.759 0.244 0.878
0.759 0.256 0.378
0.198 0.592 0.899
0.198 0.908 0.399
0.249 0.585 0.353
0.249 0.915 0.853
0.344 0.224 0.431
0.344 0.276 0.931
0.656 0.724 0.069
0.656 0.776 0.569
0.751 0.085 0.147
0.751 0.415 0.647
0.802 0.092 0.601
0.802 0.408 0.101
```


[13]
VASP calculation (PBE-GGA) on a geometry-optimized Ta2FeH structure.

Results
- symmetry = No. 166
- energy (eV/atom) = -8.78
- DOS at the Fermi energy (states/eV per cell) = 3.34
- crystal system = trigonal

```
Ta2FeH
1.0
1.466 0.847 6.759
-1.466 0.847 6.759
0.000 -1.693 6.759
Ta Fe H
2 1 1
direct
0.232 0.232 0.232
0.768 0.768 0.768
0.000 0.000 0.000
0.500 0.500 0.500
```


[14]
VASP calculation (PBE-GGA) on a geometry-optimized Ta5Fe3H12 structure.

Results
- symmetry = No. 230
- energy (eV/atom) = -6.20
- DOS at the Fermi energy (states/eV per cell) = 38.33
- crystal system = cubic

```
Ta5Fe3H12
1.0
-5.468 5.468 5.468
5.468 -5.468 5.468
5.468 5.468 -5.468
Ta Fe H
20 12 48
direct
0.000 0.000 0.000
0.000 0.000 0.500
0.000 0.500 0.000
0.000 0.500 0.500
0.125 0.750 0.875
0.125 0.875 0.250
0.250 0.125 0.875
0.250 0.625 0.375
0.375 0.250 0.625
0.375 0.625 0.750
0.500 0.000 0.000
0.500 0.000 0.500
0.500 0.500 0.000
0.500 0.500 0.500
0.625 0.375 0.250
0.625 0.750 0.375
0.750 0.375 0.625
0.750 0.875 0.125
0.875 0.125 0.750
0.875 0.250 0.125
0.125 0.250 0.375
0.125 0.375 0.750
0.250 0.375 0.125
0.250 0.875 0.625
0.375 0.125 0.250
0.375 0.750 0.125
0.625 0.250 0.875
0.625 0.875 0.750
0.750 0.125 0.375
0.750 0.625 0.875
0.875 0.625 0.250
0.875 0.750 0.625
0.060 0.727 0.654
0.060 0.834 0.407
0.073 0.227 0.166
0.073 0.346 0.907
0.093 0.666 0.440
0.093 0.927 0.654
0.154 0.227 0.560
0.154 0.427 0.593
0.166 0.073 0.227
0.166 0.593 0.940
0.227 0.166 0.073
0.227 0.560 0.154
0.273 0.346 0.940
0.273 0.427 0.334
0.334 0.273 0.427
0.334 0.560 0.907
0.346 0.907 0.073
0.346 0.940 0.273
0.407 0.060 0.834
0.407 0.846 0.573
0.427 0.334 0.273
0.427 0.593 0.154
0.440 0.093 0.666
0.440 0.846 0.773
0.560 0.154 0.227
0.560 0.907 0.334
0.573 0.407 0.846
0.573 0.666 0.727
0.593 0.154 0.427
0.593 0.940 0.166
0.654 0.060 0.727
0.654 0.093 0.927
0.666 0.440 0.093
0.666 0.727 0.573
0.727 0.573 0.666
0.727 0.654 0.060
0.773 0.440 0.846
0.773 0.834 0.927
0.834 0.407 0.060
0.834 0.927 0.773
0.846 0.573 0.407
0.846 0.773 0.440
0.907 0.073 0.346
0.907 0.334 0.560
0.927 0.654 0.093
0.927 0.773 0.834
0.940 0.166 0.593
0.940 0.273 0.346
```


[15]
VASP calculation (PBE-GGA) on a geometry-optimized TaFe2H structure.

Results
- symmetry = No. 225
- energy (eV/atom) = -7.37
- DOS at the Fermi energy (states/eV per cell) = 2.85
- crystal system = cubic

```
TaFe2H
1.0
0.000 2.845 2.845
2.845 0.000 2.845
2.845 2.845 0.000
Ta Fe H
1 2 1
direct
0.000 0.000 0.000
0.250 0.250 0.250
0.750 0.750 0.750
0.500 0.500 0.500
```


[16]
VASP calculation (PBE-GGA) on a geometry-optimized Ta2FeH structure.

Results
- symmetry = No. 225
- energy (eV/atom) = -8.53
- DOS at the Fermi energy (states/eV per cell) = 3.31
- crystal system = cubic

```
Ta2FeH
1.0
0.000 2.968 2.968
2.968 0.000 2.968
2.968 2.968 0.000
Ta Fe H
2 1 1
direct
0.250 0.250 0.250
0.750 0.750 0.750
0.000 0.000 0.000
0.500 0.500 0.500
```


[17]
VASP calculation (PBE-GGA) on a geometry-optimized Ta2FeH2 structure.

Results
- symmetry = No. 139
- energy (eV/atom) = -7.92
- DOS at the Fermi energy (states/eV per cell) = 2.75
- crystal system = tetragonal

```
Ta2FeH2
1.0
-1.504 1.504 5.812
1.504 -1.504 5.812
1.504 1.504 -5.812
Ta Fe H
2 1 2
direct
0.135 0.135 0.000
0.865 0.865 0.000
0.500 0.500 0.000
0.250 0.750 0.500
0.750 0.250 0.500
```


[18]
VASP calculation (PBE-GGA) on a geometry-optimized TaFeH2 structure.

Results
- symmetry = No. 122
- energy (eV/atom) = -6.73
- DOS at the Fermi energy (states/eV per cell) = 6.03
- crystal system = tetragonal

```
TaFeH2
1.0
-1.982 1.982 4.390
1.982 -1.982 4.390
1.982 1.982 -4.390
Ta Fe H
2 2 4
direct
0.000 0.000 0.000
0.750 0.250 0.500
0.250 0.750 0.500
0.500 0.500 0.000
0.187 0.625 0.062
0.375 0.437 0.562
0.563 0.125 0.938
0.875 0.813 0.438
```


no.,M_tot (μB/f.u.)
1,2.9
2,0.5
3,0.0
4,1.2
5,0.0
6,9.4
7,0.8
8,2.7
9,1.8
10,2.5
11,0.9
12,0.7
13,1.4
14,7.0
15,1.7
16,0.3
17,1.4
18,0.9